An optimized crystal structure of Mn2CoO6, computed with PBE+U.

```
9
Lattice="5.0240 0.0000 0.0000 -2.5120 4.3509 0.0000 0.0000 0.0000 4.5912" Properties=species:S:1:pos:R:3 pbc="T T T"
Mn 0.0000 2.9006 0.0000
Mn 2.5120 1.4503 0.0000
Co 0.0000 0.0000 0.0000
O -0.8249 1.4288 0.9506
O -1.6871 2.9222 3.6406
O 1.6498 0.0000 0.9506
O 0.8249 1.4288 3.6406
O 3.3742 0.0000 3.6406
O 1.6871 2.9222 0.9506
```

## Properties
**Uncorrected energy**: -6.62 eV/atom